# 1
Material: TaHgAs2
Method: DFT, PBE
State: optimized geometry

a b c (Å): 7.631 5.433 2.946
angles (deg): 75.11 88.85 134.17
Atoms (fractional coordinates):
As (0.000, 0.000, 0.000)
As (0.500, 0.000, 0.500)
Hg (0.000, 0.500, 0.500)
Ta (0.500, 0.500, 0.000)

total magnetization = 0.00 Bohr magnetons per cell
energy of formation = 0.336 eV/atom



# 2
Material: InFeHg
Method: DFT, PBE
State: optimized geometry

a b c (Å): 3.145 3.145 6.961
angles (deg): 90.00 90.00 120.00
Site moments in Bohr magnetons follow the coordinates.
Atoms (fractional coordinates):
Fe (0.000, 0.000, 0.000)  2.81
Hg (0.667, 0.333, 0.308)  0.01
In (0.333, 0.667, 0.692)  0.00

total magnetization = 2.85 Bohr magnetons per cell
energy of formation = 0.403 eV/atom